Version i
This record from Alexandria via LeMat-Bulk describes an optimized crystal structure of CaBeSe. The functional is GGA-PBE.

CIF file:
```
data_CaBeSe
_symmetry_space_group_name_H-M 'F -4 3 m'
_symmetry_Int_Tables_number 216
_symmetry_space_group_name_Hall 'F -4 2 3'
_cell_length_a 6.759
_cell_length_b 6.759
_cell_length_c 6.759
_cell_angle_alpha 90.00
_cell_angle_beta 90.00
_cell_angle_gamma 90.00
loop_
_atom_site_label
_atom_site_fract_x
_atom_site_fract_y
_atom_site_fract_z
Ca1 0.000 0.000 0.000
Be1 0.000 0.000 0.500
Se1 0.250 0.250 0.750
```

Properties
Its density of states at the Fermi level is 14.22 states/eV/cell. The value obtained for the calculated volume is 25.73 A^3/atom.

***

Version ii
This record from Alexandria via LeMat-Bulk describes an optimized crystal structure of CaBeSe. The functional is GGA-PBE.

CIF file:
```
data_CaBeSe
_symmetry_space_group_name_H-M 'F m m 2'
_symmetry_Int_Tables_number 42
_symmetry_space_group_name_Hall 'F 2 -2'
_cell_length_a 3.771
_cell_length_b 6.861
_cell_length_c 11.147
_cell_angle_alpha 90.00
_cell_angle_beta 90.00
_cell_angle_gamma 90.00
loop_
_atom_site_label
_atom_site_fract_x
_atom_site_fract_y
_atom_site_fract_z
Ca1 0.000 0.000 0.000
Be1 0.000 0.000 0.696
Se1 0.000 0.000 0.298
```

Properties
Its density of states at the Fermi level is 1.42 states/eV/cell. The value obtained for the calculated volume is 24.03 A^3/atom.

***

Stability ranking, top entry: version ii; the second entry is 376 meV per atom less favorable.

***

Version i
This record from Alexandria via LeMat-Bulk describes an optimized crystal structure of CaBe3Se. The functional is GGA-PBE.

CIF file:
```
data_CaBe3Se
_symmetry_space_group_name_H-M 'P m -3 m'
_symmetry_Int_Tables_number 221
_symmetry_space_group_name_Hall '-P 4 2 3'
_cell_length_a 4.534
_cell_length_b 4.534
_cell_length_c 4.534
_cell_angle_alpha 90.00
_cell_angle_beta 90.00
_cell_angle_gamma 90.00
loop_
_atom_site_label
_atom_site_fract_x
_atom_site_fract_y
_atom_site_fract_z
Ca1 0.000 0.000 0.000
Be1 0.000 0.500 0.500
Se1 0.500 0.500 0.500
```

Properties
Its density of states at the Fermi level is 2.72 states/eV/cell. The value obtained for the calculated volume is 18.64 A^3/atom.

***

Version ii
This record from Alexandria via LeMat-Bulk describes an optimized crystal structure of CaBe3Se. The functional is GGA-PBE.

CIF file:
```
data_CaBe3Se
_symmetry_space_group_name_H-M 'P m -3 m'
_symmetry_Int_Tables_number 221
_symmetry_space_group_name_Hall '-P 4 2 3'
_cell_length_a 5.232
_cell_length_b 5.232
_cell_length_c 5.232
_cell_angle_alpha 90.00
_cell_angle_beta 90.00
_cell_angle_gamma 90.00
loop_
_atom_site_label
_atom_site_fract_x
_atom_site_fract_y
_atom_site_fract_z
Ca1 0.000 0.000 0.000
Be1 0.000 0.000 0.500
Se1 0.500 0.500 0.500
```

Properties
Its density of states at the Fermi level is 2.46 states/eV/cell. The value obtained for the calculated volume is 28.65 A^3/atom.

***

Stability ranking, top entry: version i; the second entry is 1215 meV per atom less favorable.

***

Version i
This record from Alexandria via LeMat-Bulk describes an optimized crystal structure of CaBeSi3. The functional is GGA-PBE.

CIF file:
```
data_CaBeSi3
_symmetry_space_group_name_H-M 'P m -3 m'
_symmetry_Int_Tables_number 221
_symmetry_space_group_name_Hall '-P 4 2 3'
_cell_length_a 5.307
_cell_length_b 5.307
_cell_length_c 5.307
_cell_angle_alpha 90.00
_cell_angle_beta 90.00
_cell_angle_gamma 90.00
loop_
_atom_site_label
_atom_site_fract_x
_atom_site_fract_y
_atom_site_fract_z
Ca1 0.000 0.000 0.000
Be1 0.500 0.500 0.500
Si1 0.000 0.000 0.500
```

Properties
Its density of states at the Fermi level is 6.83 states/eV/cell. The value obtained for the calculated volume is 29.90 A^3/atom.

***

Version ii
This record from Alexandria via LeMat-Bulk describes an optimized crystal structure of CaBeSi3. The functional is GGA-PBE.

CIF file:
```
data_CaBeSi3
_symmetry_space_group_name_H-M 'P m -3 m'
_symmetry_Int_Tables_number 221
_symmetry_space_group_name_Hall '-P 4 2 3'
_cell_length_a 4.469
_cell_length_b 4.469
_cell_length_c 4.469
_cell_angle_alpha 90.00
_cell_angle_beta 90.00
_cell_angle_gamma 90.00
loop_
_atom_site_label
_atom_site_fract_x
_atom_site_fract_y
_atom_site_fract_z
Ca1 0.000 0.000 0.000
Be1 0.500 0.500 0.500
Si1 0.000 0.500 0.500
```

Properties
Its density of states at the Fermi level is 2.30 states/eV/cell. The value obtained for the calculated volume is 17.85 A^3/atom.

***

Stability ranking, top entry: version ii; the second entry is 1633 meV per atom less favorable.